A plane-wave DFT calculation with GGA-PBE was carried out for a relaxed Hf2SbAu crystal.

- Symmetry: No. 160
- VASP energy: -7.06 eV per atom
- M_tot: 0.00 μB per cell

abc: 7.9766 7.9766 7.9766
angles: 26.94 26.94 26.94
Element x y z (fractional)
Hf 0.0000 0.0000 0.0000
Hf 0.1604 0.1604 0.1604
Sb 0.5797 0.5797 0.5797
Au 0.7479 0.7479 0.7479